[1]
The following is a GGA-PBE calculation of a relaxed ScGaAg2 crystal, from Alexandria via LeMat-Bulk.

Results
Space group ... Immm (71)
ΔE_f ... -0.02 eV per atom
Crystal system ... orthorhombic

Unit cell a=6.276 b=6.276 c=6.276 alpha=53.71 beta=152.54 gamma=134.79
Sites, in units of the cell vectors:
Sc 0.000 0.000 0.000
Ga 0.000 0.500 0.500
Ag 0.000 0.267 0.267
Ag 0.000 0.733 0.733

=====

[2]
The following is a GGA-PBE calculation of a relaxed Pm4NiGe2 crystal, from Alexandria via LeMat-Bulk.

Results
Space group ... I4/mmm (139)
ΔE_f ... -0.36 eV per atom
Crystal system ... tetragonal
Polymorph energy (0 for the lowest one) ... 0.196 eV/atom

Unit cell a=4.930 b=4.930 c=8.838 alpha=106.20 beta=106.20 gamma=90.00
Sites, in units of the cell vectors:
Ni 0.000 0.000 0.000
Ge 0.634 0.634 0.268
Ge 0.366 0.366 0.732
Pm 0.817 0.817 0.633
Pm 0.183 0.183 0.367
Pm 0.000 0.500 0.000
Pm 0.500 0.000 0.000

=====

[3]
The following is a GGA-PBE calculation of a relaxed La5Pr2DyEr crystal, from Alexandria via LeMat-Bulk.

Results
Space group ... I4/mcm (140)
ΔE_f ... 0.26 eV per atom
Crystal system ... tetragonal

Unit cell a=8.641 b=8.641 c=10.668 alpha=113.89 beta=113.89 gamma=90.00
Sites, in units of the cell vectors:
La 0.923 0.423 0.288
La 0.634 0.134 0.712
La 0.077 0.577 0.712
La 0.134 0.077 0.712
La 0.577 0.634 0.712
La 0.866 0.923 0.288
La 0.423 0.366 0.288
La 0.366 0.866 0.288
La 0.500 0.500 0.000
La 0.000 0.000 0.000
Pr 0.125 0.375 0.000
Pr 0.625 0.125 0.000
Pr 0.375 0.875 0.000
Pr 0.875 0.625 0.000
Dy 0.250 0.250 0.500
Dy 0.750 0.750 0.500
Er 0.250 0.750 0.500
Er 0.750 0.250 0.500

=====

[4]
The following is a GGA-PBE calculation of a relaxed LiFe2Ir crystal, from Alexandria via LeMat-Bulk.

Results
Space group ... Pmmm (47)
ΔE_f ... 0.06 eV per atom
Crystal system ... orthorhombic

Unit cell a=2.950 b=4.049 c=4.166 alpha=90.00 beta=90.00 gamma=90.00
Sites, in units of the cell vectors:
Fe 0.000 0.000 0.000
Fe 0.500 0.500 0.000
Ir 0.500 0.000 0.500
Li 0.000 0.500 0.500

=====

| no. | DFT total energy (eV per cell) | mass density (g cm⁻³) | M_tot (Bohr magnetons per cell) |
| --- | --- | --- | --- |
| 1 | -15.137 | 6.819 | 0.000 |
| 2 | -36.559 | 6.594 | 0.000 |
| 3 | -82.021 | 6.643 | 0.002 |
| 4 | -27.445 | 10.373 | 5.849 |